No. 1
The following is a meta-GGA SCAN calculation of SrTcTe2N at its PBEsol-relaxed geometry, from Alexandria via LeMat-Bulk.

Lattice parameters (Å, degrees): 3.7296 5.5576 5.5576 90.00 90.00 90.00
Sites, in units of the cell vectors:
Te: 0.0000 0.0000 0.5000
N: 0.5000 0.0000 0.0000
Sr: 0.5000 0.5000 0.5000
Te: 0.0000 0.5000 0.0000
Tc: 0.0000 0.0000 0.0000

Density (g cm⁻³): 6.56
DOS at the Fermi energy (states/eV/atom): 0.29
Formation energy (no corrections) (eV/atom): -0.481

No. 2
The following is a meta-GGA SCAN calculation of Sr2TeN at its PBEsol-relaxed geometry, from Alexandria via LeMat-Bulk.

Lattice parameters (Å, degrees): 6.6410 6.6410 6.6410 106.71 110.87 110.87
Sites, in units of the cell vectors:
Sr: 0.0863 0.8750 0.4613
N: 0.5000 0.2500 0.7500
Sr: 0.4137 0.5387 0.6250
Te: 0.5000 0.7500 0.2500
Sr: 0.5863 0.2113 0.1250
Sr: 0.9137 0.3750 0.7887
N: 0.0000 0.5000 0.5000
Te: 0.0000 0.0000 0.0000

Density (g cm⁻³): 4.68
DOS at the Fermi energy (states/eV/atom): 0.23
Formation energy (no corrections) (eV/atom): -0.987

No. 3
The following is a meta-GGA SCAN calculation of Sr2YTeN at its PBEsol-relaxed geometry, from Alexandria via LeMat-Bulk.

Lattice parameters (Å, degrees): 4.1721 6.3946 6.3946 90.00 90.00 90.00
Sites, in units of the cell vectors:
N: 0.5000 0.0000 0.0000
Y: 0.0000 0.0000 0.0000
Sr: 0.0000 0.0000 0.5000
Te: 0.5000 0.5000 0.5000
Sr: 0.0000 0.5000 0.0000

Density (g cm⁻³): 3.95
DOS at the Fermi energy (states/eV/atom): 0.51
Formation energy (no corrections) (eV/atom): -0.099

No. 4
The following is a meta-GGA SCAN calculation of SrYTe2N at its PBEsol-relaxed geometry, from Alexandria via LeMat-Bulk.

Lattice parameters (Å, degrees): 4.4940 5.9388 5.9388 90.00 90.00 90.00
Sites, in units of the cell vectors:
N: 0.5000 0.0000 0.0000
Te: 0.0000 0.5000 0.0000
Sr: 0.0000 0.0000 0.0000
Y: 0.5000 0.5000 0.5000
Te: 0.0000 0.0000 0.5000

Density (g cm⁻³): 4.67
DOS at the Fermi energy (states/eV/atom): 0.38
Formation energy (no corrections) (eV/atom): 0.063